(1)
First-principles (PBE) data for a relaxed SrPuTl crystal, as listed in Alexandria via LeMat-Bulk.

Structure (POSCAR):
```
SrPuTl
1.0
5.291 -1.804 0.000
5.291 1.804 0.000
-2.367 0.000 9.562
Sr Pu Tl
2 2 2
Cartesian
1.408 0.000 1.294
6.807 0.000 8.268
2.136 0.000 5.052
6.079 0.000 4.510
-0.869 0.000 6.733
9.084 0.000 2.829
```

Results
* density of states at the Fermi level: 1.84 states/eV per atom
* DFT formation energy: 0.15 eV per atom

***

(2)
First-principles (PBE) data for a relaxed SrPuTlZn crystal, as listed in Alexandria via LeMat-Bulk.

Structure (POSCAR):
```
SrPuTlZn
1.0
0.000 3.869 3.869
3.869 0.000 3.869
3.869 3.869 0.000
Sr Pu Tl Zn
1 1 1 1
Cartesian
0.000 0.000 0.000
3.869 3.869 3.869
5.804 5.804 5.804
1.935 1.935 1.935
```

Results
* density of states at the Fermi level: 3.21 states/eV per atom
* DFT formation energy: -0.06 eV per atom

***

(3)
First-principles (PBE) data for a relaxed SrTm2Pu crystal, as listed in Alexandria via LeMat-Bulk.

Structure (POSCAR):
```
SrTm2Pu
1.0
1.763 1.018 12.473
-1.763 1.018 12.473
0.000 -2.036 12.473
Sr Tm Pu
1 2 1
Cartesian
0.000 0.000 0.000
0.000 0.000 3.508
0.000 0.000 33.911
0.000 0.000 18.710
```

Results
* density of states at the Fermi level: 2.90 states/eV per atom
* DFT formation energy: 0.33 eV per atom

***

(4)
First-principles (PBE) data for a relaxed SrY2Pu crystal, as listed in Alexandria via LeMat-Bulk.

Structure (POSCAR):
```
SrY2Pu
1.0
3.645 0.000 0.000
0.000 3.645 0.000
0.000 0.000 10.523
Sr Y Pu
1 2 1
Cartesian
0.000 0.000 0.000
1.823 1.823 2.993
1.823 1.823 7.530
0.000 0.000 5.262
```

Results
* density of states at the Fermi level: 2.29 states/eV per atom
* DFT formation energy: 0.20 eV per atom

***

(5)
First-principles (PBE) data for a relaxed SrPuZn crystal, as listed in Alexandria via LeMat-Bulk.

Structure (POSCAR):
```
SrPuZn
1.0
3.531 0.000 0.000
0.000 3.531 0.000
0.000 0.000 12.612
Sr Pu Zn
2 2 2
Cartesian
0.883 0.883 1.768
2.648 2.648 10.843
0.883 2.648 6.306
2.648 0.883 6.306
0.883 0.883 8.793
2.648 2.648 3.818
```

Results
* density of states at the Fermi level: 2.00 states/eV per atom
* DFT formation energy: 0.34 eV per atom

***

(6)
First-principles (PBE) data for a relaxed SrPuZn10 crystal, as listed in Alexandria via LeMat-Bulk.

Structure (POSCAR):
```
SrPuZn10
1.0
4.279 0.000 0.000
0.000 5.444 0.000
0.000 0.000 9.401
Sr Pu Zn
1 1 10
Cartesian
0.000 0.000 0.000
0.000 2.722 4.701
0.000 0.000 3.177
0.000 0.000 6.224
0.000 2.722 1.607
0.000 2.722 7.794
2.139 0.000 4.701
2.139 1.403 2.456
2.139 1.403 6.945
2.139 2.722 0.000
2.139 4.041 2.456
2.139 4.041 6.945
```

Results
* density of states at the Fermi level: 1.15 states/eV per atom
* DFT formation energy: -0.16 eV per atom

***

(7)
First-principles (PBE) data for a relaxed Pu3Ta crystal, as listed in Alexandria via LeMat-Bulk.

Structure (POSCAR):
```
Pu3Ta
1.0
-1.198 5.433 2.802
1.198 -5.433 2.802
1.198 5.433 -2.802
Pu Ta
3 1
Cartesian
0.000 0.000 0.000
1.198 2.616 0.570
0.000 2.817 3.372
0.000 5.433 0.029
```

Results
* energy relative to the lowest polymorph listed for this composition: 449.6 meV/atom
* density of states at the Fermi level: 2.89 states/eV per atom
* DFT formation energy: 0.72 eV per atom

***

(8)
First-principles (PBE) data for a relaxed Pu3Ta crystal, as listed in Alexandria via LeMat-Bulk.

Structure (POSCAR):
```
Pu3Ta
1.0
4.517 0.000 0.000
0.000 4.517 0.000
0.000 0.000 4.517
Pu Ta
3 1
Cartesian
0.000 0.000 2.259
0.000 2.259 0.000
2.259 0.000 0.000
2.259 2.259 2.259
```

Results
* energy relative to the lowest polymorph listed for this composition: 98.6 meV/atom
* density of states at the Fermi level: 3.10 states/eV per atom
* DFT formation energy: 0.37 eV per atom

***

What is the formula in the first record?
SrPuTl

***

Which value of DFT formation energy does entry 4 give?
0.20 eV per atom